Density functional theory data (PBE-GGA) for a relaxed TiWSe2 crystal.

DOS at the Fermi energy   0.9650 states/eV/atom
Total magnetization   2.79 μB/cell
Calculated density   7.75 g/cm³
V   20.877 Å³ per atom
Formation energy (no corrections)   0.11 eV/atom

Cell: 4.756 4.756 14.768 Å, 90.00 90.00 90.00°
Space group I-42d (No. 122)
Unique sites:
Ti 0.000 0.000 0.000
W 0.000 0.000 0.500
Se 0.242 0.250 0.625



Density functional theory data (PBE-GGA) for a relaxed TiW2Se crystal.

DOS at the Fermi energy   1.0294 states/eV/atom
Total magnetization   0.00 μB/cell
Calculated density   11.75 g/cm³
V   17.470 Å³ per atom
Formation energy (no corrections)   0.44 eV/atom

Cell: 3.730 3.730 20.095 Å, 90.00 90.00 90.00°
Space group I-42d (No. 122)
Unique sites:
Ti 0.000 0.000 0.000
W 0.247 0.250 0.125
Se 0.000 0.000 0.500



Density functional theory data (PBE-GGA) for a relaxed Ti2WSe6 crystal.

DOS at the Fermi energy   0.5267 states/eV/atom
Total magnetization   0.00 μB/cell
Calculated density   6.61 g/cm³
V   21.020 Å³ per atom
Formation energy (no corrections)   -0.62 eV/atom

Cell: 6.231 6.379 11.222 Å, 90.00 121.98 90.00°
Space group P2_1/c (No. 14)
Unique sites:
Ti 0.177 0.161 0.251
W 0.000 0.000 0.500
Se 0.107 0.153 0.924
Se 0.258 0.680 0.916
Se 0.413 0.035 0.733



Density functional theory data (PBE-GGA) for a relaxed TiWSe2 crystal.

DOS at the Fermi energy   0.9873 states/eV/atom
Total magnetization   6.68 μB/cell
Calculated density   10.08 g/cm³
V   16.054 Å³ per atom
Formation energy (no corrections)   -0.13 eV/atom

Cell: 6.357 6.357 6.357 Å, 90.00 90.00 90.00°
Space group Fm-3m (No. 225)
Unique sites:
Ti 0.000 0.000 0.000
W 0.000 0.000 0.500
Se 0.250 0.250 0.250



Density functional theory data (PBE-GGA) for a relaxed TiWSe2 crystal.

DOS at the Fermi energy   0.6758 states/eV/atom
Total magnetization   0.00 μB/cell
Calculated density   8.89 g/cm³
V   18.185 Å³ per atom
Formation energy (no corrections)   -0.08 eV/atom

Cell: 3.1351 3.1351 25.6370 Å, 90.00 90.00 120.00°
Space group R-3m (No. 166, hexagonal axes)
Unique sites:
Ti 0.0000 0.0000 0.0000
W 0.0000 0.0000 0.5000
Se 0.0000 0.0000 0.4022



Density functional theory data (PBE-GGA) for a relaxed TiWSe crystal.

DOS at the Fermi energy   0.6831 states/eV/atom
Total magnetization   0.00 μB/cell
Calculated density   10.19 g/cm³
V   16.870 Å³ per atom
Formation energy (no corrections)   -0.06 eV/atom

Cell: 3.1953 3.1953 11.4472 Å, 90.00 90.00 120.00°
Space group P-6m2 (No. 187)
Unique sites:
Ti 0.0000 0.0000 0.1701
W 0.0000 0.0000 0.5000
W 0.6667 0.3333 0.0000
Se 0.6667 0.3333 0.3399



Density functional theory data (PBE-GGA) for a relaxed Ti2WSe crystal.

DOS at the Fermi energy   0.6582 states/eV/atom
Total magnetization   0.00 μB/cell
Calculated density   8.54 g/cm³
V   17.420 Å³ per atom
Formation energy (no corrections)   0.20 eV/atom

Cell: 2.9887 2.9887 27.0223 Å, 90.00 90.00 120.00°
Space group R-3m (No. 166, hexagonal axes)
Unique sites:
Ti 0.0000 0.0000 0.0954
W 0.0000 0.0000 0.0000
Se 0.0000 0.0000 0.5000



Density functional theory data (PBE-GGA) for a relaxed TiW3Se crystal.

DOS at the Fermi energy   1.5407 states/eV/atom
Total magnetization   1.10 μB/cell
Calculated density   11.68 g/cm³
V   19.287 Å³ per atom
Formation energy (no corrections)   1.40 eV/atom

Cell: 4.586 4.586 4.586 Å, 90.00 90.00 90.00°
Space group Pm-3m (No. 221)
Unique sites:
Ti 0.000 0.000 0.000
W 0.000 0.500 0.500
Se 0.500 0.500 0.500



Density functional theory data (PBE-GGA) for a relaxed TiW3Se crystal.

DOS at the Fermi energy   1.0762 states/eV/atom
Total magnetization   0.00 μB/cell
Calculated density   11.28 g/cm³
V   19.973 Å³ per atom
Formation energy (no corrections)   2.06 eV/atom

Cell: 4.640 4.640 4.640 Å, 90.00 90.00 90.00°
Space group Pm-3m (No. 221)
Unique sites:
Ti 0.000 0.000 0.000
W 0.000 0.000 0.500
Se 0.500 0.500 0.500



Density functional theory data (PBE-GGA) for a relaxed TiWSe3 crystal.

DOS at the Fermi energy   1.8739 states/eV/atom
Total magnetization   0.14 μB/cell
Calculated density   6.53 g/cm³
V   23.845 Å³ per atom
Formation energy (no corrections)   0.54 eV/atom

Cell: 4.922 4.922 4.922 Å, 90.00 90.00 90.00°
Space group Pm-3m (No. 221)
Unique sites:
Ti 0.000 0.000 0.000
W 0.500 0.500 0.500
Se 0.000 0.500 0.500



Density functional theory data (PBE-GGA) for a relaxed Ti2WSe crystal.

DOS at the Fermi energy   1.2992 states/eV/atom
Total magnetization   0.00 μB/cell
Calculated density   8.59 g/cm³
V   17.333 Å³ per atom
Formation energy (no corrections)   0.28 eV/atom

Cell: 7.056 7.056 5.570 Å, 90.00 90.00 90.00°
Space group I-42d (No. 122)
Unique sites:
Ti 0.234 0.750 0.125
W 0.000 0.000 0.500
Se 0.000 0.000 0.000



Density functional theory data (PBE-GGA) for a relaxed YTiSe3 crystal.

DOS at the Fermi energy   1.1343 states/eV/atom
Total magnetization   1.16 μB/cell
Calculated density   3.97 g/cm³
V   31.296 Å³ per atom
Formation energy (no corrections)   -0.22 eV/atom

Cell: 5.389 5.389 5.389 Å, 90.00 90.00 90.00°
Space group Pm-3m (No. 221)
Unique sites:
Y 0.000 0.000 0.000
Ti 0.500 0.500 0.500
Se 0.000 0.000 0.500